The following is a DFT calculation (PBE) of an optimized crystal structure of LiScOs2.

Calculated values
Density of states at the Fermi level: 2.17 states/eV/f.u.
Size of the total moment: 0.0000 μB/atom
Raw total energy: -7.595 eV per atom
Energy above the most stable polymorph in this dataset: 0.114 eV per atom
Energy of formation from the pure elements: 31.3 kJ/mol of formula units

Structure (POSCAR):
```
LiScOs2
1.0
-1.121 5.006 1.455
-3.205 2.959 -3.068
0.607 -4.391 2.964
Li Os Sc
1 2 1
Direct
0.235 0.735 0.500
0.993 0.993 0.000
0.766 0.266 0.500
0.507 0.507 0.000
```